# 1
{
  "formula": "BeAsPdBrCl",
  "functional": "PBE",
  "state": "optimized geometry",
  "space_group": "P1, No. 1",
  "raw_formation_energy_ev_per_atom": -0.4007,
  "lattice": [[3.316, 0.000, 0.000], [-1.652, 5.770, 0.000], [-1.583, -2.630, 6.720]],
  "species": ["Be", "As", "Pd", "Br", "Cl"],
  "frac_coords": [[0.000, 0.000, 0.000], [0.198, 0.757, 0.624], [0.680, 0.580, 0.770], [0.168, 0.370, 0.965], [0.597, 0.023, 0.178]]
}

# 2
{
  "formula": "BeAsPdBrCl",
  "functional": "PBE",
  "state": "optimized geometry",
  "space_group": "P1, No. 1",
  "raw_formation_energy_ev_per_atom": -0.3922,
  "lattice": [[3.677, 0.000, 0.000], [0.189, 5.688, 0.000], [0.116, 2.717, 6.303]],
  "species": ["Be", "As", "Pd", "Br", "Cl"],
  "frac_coords": [[0.000, 0.000, 0.000], [0.607, 0.568, 0.192], [0.109, 0.638, 0.955], [0.682, 0.010, 0.266], [0.113, 0.317, 0.770]]
}

# 3
{
  "formula": "BeAsPdBrCl",
  "functional": "PBE",
  "state": "optimized geometry",
  "space_group": "Cm, No. 8",
  "raw_formation_energy_ev_per_atom": -0.3715,
  "lattice": [[11.697, 0.000, 0.000], [0.000, 3.637, 0.000], [-1.430, 0.000, 5.828]],
  "species": ["Be", "Be", "As", "As", "Pd", "Pd", "Br", "Br", "Cl", "Cl"],
  "frac_coords": [[0.000, 0.000, 0.000], [0.500, 0.500, 0.000], [0.136, 0.000, 0.358], [0.636, 0.500, 0.358], [0.491, 0.000, 0.240], [0.991, 0.500, 0.240], [0.263, 0.000, 0.076], [0.763, 0.500, 0.076], [0.442, 0.500, 0.682], [0.942, 0.000, 0.682]]
}

# 4
{
  "formula": "BeAsPdBrCl",
  "functional": "PBE",
  "state": "optimized geometry",
  "space_group": "P1, No. 1",
  "raw_formation_energy_ev_per_atom": -0.3929,
  "lattice": [[3.349, 0.000, 0.000], [1.582, 6.265, 0.000], [0.491, 2.649, 6.377]],
  "species": ["Be", "As", "Pd", "Br", "Cl"],
  "frac_coords": [[0.000, 0.000, 0.000], [0.726, 0.292, 0.627], [0.144, 0.381, 0.828], [0.067, 0.823, 0.777], [0.515, 0.905, 0.196]]
}